Entry 1:
First-principles (PBE-GGA) data for a geometry-optimized LiBi structure, as listed in Alexandria.

```
data_LiBi
_chemical_formula_sum 'Li16 Bi16'
_cell_length_a 8.1259
_cell_length_b 9.0045
_cell_length_c 10.8664
_cell_angle_alpha 90.00
_cell_angle_beta 90.00
_cell_angle_gamma 90.00
_space_group_name_H-M_alt 'P 1'
_space_group_IT_number 1
loop_
_space_group_symop_operation_xyz
'x,y,z'
loop_
_atom_site_label
_atom_site_type_symbol
_atom_site_fract_x
_atom_site_fract_y
_atom_site_fract_z
Li1 Li 0.3200 0.5000 0.0000
Bi1 Bi 0.2500 0.0723 0.2500
Bi2 Bi 0.7500 0.9277 0.2500
Bi3 Bi 0.5000 0.8223 0.0000
Bi4 Bi 0.5000 0.3223 0.5000
Li2 Li 0.5700 0.7500 0.7500
Li3 Li 0.4300 0.2500 0.7500
Bi5 Bi 0.0000 0.1777 0.5000
Li4 Li 0.8200 0.0000 0.0000
Bi6 Bi 0.2500 0.5723 0.7500
Li5 Li 0.0700 0.2500 0.7500
Bi7 Bi 0.0000 0.3223 0.0000
Li6 Li 0.1800 0.0000 0.0000
Li7 Li 0.3200 0.0000 0.5000
Li8 Li 0.9300 0.7500 0.7500
Bi8 Bi 0.5000 0.1777 0.0000
Bi9 Bi 0.7500 0.0723 0.7500
Li9 Li 0.5700 0.2500 0.2500
Bi10 Bi 0.0000 0.8223 0.5000
Li10 Li 0.9300 0.2500 0.2500
Li11 Li 0.6800 0.0000 0.5000
Bi11 Bi 0.0000 0.6777 0.0000
Bi12 Bi 0.2500 0.9277 0.7500
Li12 Li 0.4300 0.7500 0.2500
Li13 Li 0.0700 0.7500 0.2500
Li14 Li 0.1800 0.5000 0.5000
Bi13 Bi 0.7500 0.4277 0.7500
Bi14 Bi 0.2500 0.4277 0.2500
Li15 Li 0.8200 0.5000 0.5000
Bi15 Bi 0.7500 0.5723 0.2500
Li16 Li 0.6800 0.5000 0.0000
Bi16 Bi 0.5000 0.6777 0.5000
```

DFT formation energy (eV per atom): -0.17
Polymorph energy (0 for the lowest one) (meV per atom): 206
Magnetization (μB per atom): 0.000

Entry 2:
First-principles (PBE-GGA) data for a geometry-optimized Li4Bi structure, as listed in Alexandria.

```
data_Li4Bi
_chemical_formula_sum 'Li4 Bi1'
_cell_length_a 5.6473
_cell_length_b 4.7554
_cell_length_c 4.7307
_cell_angle_alpha 120.32
_cell_angle_beta 90.80
_cell_angle_gamma 114.53
_space_group_name_H-M_alt 'P 1'
_space_group_IT_number 1
loop_
_space_group_symop_operation_xyz
'x,y,z'
loop_
_atom_site_label
_atom_site_type_symbol
_atom_site_fract_x
_atom_site_fract_y
_atom_site_fract_z
Li1 Li 0.3896 0.5935 0.7953
Bi1 Bi 0.0000 0.0000 0.0000
Li2 Li 0.8113 0.2073 0.6039
Li3 Li 0.6104 0.4065 0.2047
Li4 Li 0.1887 0.7927 0.3961
```

DFT formation energy (eV per atom): -0.38
Polymorph energy (0 for the lowest one) (meV per atom): 0
Magnetization (μB per atom): 0.000

Entry 3:
First-principles (PBE-GGA) data for a geometry-optimized LiBi structure, as listed in Alexandria.

```
data_LiBi
_chemical_formula_sum 'Li8 Bi8'
_cell_length_a 11.3603
_cell_length_b 11.3603
_cell_length_c 4.2388
_cell_angle_alpha 90.00
_cell_angle_beta 90.00
_cell_angle_gamma 90.00
_space_group_name_H-M_alt 'P 1'
_space_group_IT_number 1
loop_
_space_group_symop_operation_xyz
'x,y,z'
loop_
_atom_site_label
_atom_site_type_symbol
_atom_site_fract_x
_atom_site_fract_y
_atom_site_fract_z
Li1 Li 0.8011 0.9426 0.5000
Li2 Li 0.5574 0.3011 0.0000
Li3 Li 0.6989 0.5574 0.0000
Li4 Li 0.1989 0.0574 0.5000
Li5 Li 0.9426 0.1989 0.5000
Bi1 Bi 0.3316 0.1937 0.0000
Bi2 Bi 0.1937 0.6684 0.0000
Li6 Li 0.0574 0.8011 0.5000
Li7 Li 0.4426 0.6989 0.0000
Bi3 Bi 0.6937 0.1684 0.5000
Bi4 Bi 0.8063 0.3316 0.0000
Li8 Li 0.3011 0.4426 0.0000
Bi5 Bi 0.1684 0.3063 0.5000
Bi6 Bi 0.6684 0.8063 0.0000
Bi7 Bi 0.3063 0.8316 0.5000
Bi8 Bi 0.8316 0.6937 0.5000
```

DFT formation energy (eV per atom): -0.14
Polymorph energy (0 for the lowest one) (meV per atom): 242
Magnetization (μB per atom): 0.000

Entry 4:
First-principles (PBE-GGA) data for a geometry-optimized Li5Bi structure, as listed in Alexandria.

```
data_Li5Bi
_chemical_formula_sum 'Li5 Bi1'
_cell_length_a 4.6681
_cell_length_b 4.7009
_cell_length_c 5.7813
_cell_angle_alpha 113.99
_cell_angle_beta 90.00
_cell_angle_gamma 90.00
_space_group_name_H-M_alt 'P 1'
_space_group_IT_number 1
loop_
_space_group_symop_operation_xyz
'x,y,z'
loop_
_atom_site_label
_atom_site_type_symbol
_atom_site_fract_x
_atom_site_fract_y
_atom_site_fract_z
Li1 Li 0.0000 0.3318 0.6636
Li2 Li 0.5000 0.1565 0.3130
Li3 Li 0.0000 0.6682 0.3364
Bi1 Bi 0.0000 0.0000 0.0000
Li4 Li 0.5000 0.5000 0.0000
Li5 Li 0.5000 0.8435 0.6870
```

DFT formation energy (eV per atom): -0.32
Polymorph energy (0 for the lowest one) (meV per atom): 28
Magnetization (μB per atom): 0.000

Entry 5:
First-principles (PBE-GGA) data for a geometry-optimized LiBi4 structure, as listed in Alexandria.

```
data_LiBi4
_chemical_formula_sum 'Li1 Bi4'
_cell_length_a 5.2617
_cell_length_b 5.2617
_cell_length_c 5.2617
_cell_angle_alpha 90.00
_cell_angle_beta 90.00
_cell_angle_gamma 90.00
_space_group_name_H-M_alt 'P 1'
_space_group_IT_number 1
loop_
_space_group_symop_operation_xyz
'x,y,z'
loop_
_atom_site_label
_atom_site_type_symbol
_atom_site_fract_x
_atom_site_fract_y
_atom_site_fract_z
Bi1 Bi 0.5000 0.5000 0.0000
Bi2 Bi 0.5000 0.0000 0.5000
Bi3 Bi 0.0000 0.5000 0.5000
Li1 Li 0.5000 0.5000 0.5000
Bi4 Bi 0.0000 0.0000 0.0000
```

DFT formation energy (eV per atom): 0.24
Magnetization (μB per atom): 0.000

Entry 6:
First-principles (PBE-GGA) data for a geometry-optimized Li3Bi structure, as listed in Alexandria.

```
data_Li3Bi
_chemical_formula_sum 'Li6 Bi2'
_cell_length_a 4.8056
_cell_length_b 4.8056
_cell_length_c 8.5376
_cell_angle_alpha 90.00
_cell_angle_beta 90.00
_cell_angle_gamma 120.00
_space_group_name_H-M_alt 'P 1'
_space_group_IT_number 1
loop_
_space_group_symop_operation_xyz
'x,y,z'
loop_
_atom_site_label
_atom_site_type_symbol
_atom_site_fract_x
_atom_site_fract_y
_atom_site_fract_z
Li1 Li 0.3333 0.6667 0.9122
Bi1 Bi 0.3333 0.6667 0.2500
Bi2 Bi 0.6667 0.3333 0.7500
Li2 Li 0.3333 0.6667 0.5878
Li3 Li 0.6667 0.3333 0.0878
Li4 Li 0.0000 0.0000 0.2500
Li5 Li 0.6667 0.3333 0.4122
Li6 Li 0.0000 0.0000 0.7500
```

DFT formation energy (eV per atom): -0.52
Magnetization (μB per atom): 0.000

| no. | E (eV/f.u.) |
| --- | --- |
| 1 | -6.143 |
| 2 | -13.431 |
| 3 | -6.070 |
| 4 | -15.346 |
| 5 | -16.261 |
| 6 | -11.690 |